[1]
# CrGeSbTe2

A relaxed CrGeSbTe2 crystal (PBE, Alexandria).

Geometry as extended XYZ:
```
5
Lattice="-1.137 4.296 -2.789 -4.461 0.573 2.701 2.442 2.869 3.424" Properties=species:S:1:pos:R:3 pbc="T T T"
Ge -1.578 3.869 1.668
Te -2.230 0.286 1.351
Sb 1.221 1.435 1.712
Te -0.568 2.148 -1.394
Cr 0.000 0.000 0.000
```

**N(E_F)**: 5.3 states/eV per cell
**Energy relative to the elements, uncorrected**: 503 meV per atom

***

[2]
# V2CrGeSb

A relaxed V2CrGeSb crystal (PBE, Alexandria).

Geometry as extended XYZ:
```
5
Lattice="4.436 0.000 0.000 0.000 4.812 0.000 0.000 0.000 4.436" Properties=species:S:1:pos:R:3 pbc="T T T"
Sb 0.000 2.406 0.000
Cr 0.000 0.000 0.000
V 0.000 0.000 2.218
V 2.218 0.000 0.000
Ge 2.218 2.406 2.218
```

**N(E_F)**: 6.5 states/eV per cell
**Energy relative to the elements, uncorrected**: 916 meV per atom

***

[3]
# ScCrGe

A relaxed ScCrGe crystal (PBE, Alexandria).

Geometry as extended XYZ:
```
12
Lattice="-4.719 -2.506 0.659 1.865 -3.616 -0.400 2.529 0.274 9.309" Properties=species:S:1:pos:R:3 pbc="T T T"
Cr 0.149 -0.138 1.941
Ge -2.326 -1.433 2.114
Ge 0.893 -0.403 7.802
Sc -1.690 -3.639 4.128
Ge -0.129 -3.104 6.569
Cr 2.346 -1.809 6.395
Sc -0.245 -0.686 5.056
Cr -2.535 -2.016 6.402
Ge 0.561 -2.348 2.947
Cr -2.867 -3.961 1.547
Sc -1.358 -1.694 8.982
Sc -0.577 -2.631 0.202
```

**DFT formation energy**: -0.24 eV per atom
**N(E_F)**: 11.2 states/eV per cell

***

[4]
# Sc2CrGe

A relaxed Sc2CrGe crystal (PBE, Alexandria).

Geometry as extended XYZ:
```
8
Lattice="-2.609 -6.129 3.086 2.094 -3.855 -5.887 2.160 -5.441 -0.247" Properties=species:S:1:pos:R:3 pbc="T T T"
Sc 1.470 -7.904 -1.357
Cr 1.998 -7.144 -3.767
Ge -0.354 -8.281 0.719
Sc -0.776 -5.547 1.068
Sc 1.469 -4.662 -3.292
Cr -0.258 -4.992 -1.401
Ge 0.000 0.000 0.000
Sc 1.126 -12.738 -2.516
```

**DFT formation energy**: 0.36 eV per atom
**N(E_F)**: 11.3 states/eV per cell

***

[5]
# Sc2CrGe4

A relaxed Sc2CrGe4 crystal (PBE, Alexandria).

Geometry as extended XYZ:
```
7
Lattice="4.605 0.000 0.000 0.000 4.605 0.000 2.302 2.302 6.713" Properties=species:S:1:pos:R:3 pbc="T T T"
Sc 2.302 2.302 1.652
Ge 4.605 4.605 2.434
Ge 0.000 2.302 0.000
Cr 0.000 0.000 0.000
Ge 2.302 0.000 0.000
Sc 4.605 4.605 5.061
Ge 2.302 2.302 4.278
```

**DFT formation energy**: -0.08 eV per atom
**N(E_F)**: 4.4 states/eV per cell

***

[6]
# ScCrGe2

A relaxed ScCrGe2 crystal (PBE, Alexandria).

Geometry as extended XYZ:
```
8
Lattice="-0.139 3.773 -2.041 -3.874 0.767 1.682 1.771 6.158 6.749" Properties=species:S:1:pos:R:3 pbc="T T T"
Ge -0.137 4.239 0.489
Ge 0.075 6.271 4.818
Ge -2.434 8.641 4.856
Cr 0.000 0.000 0.000
Sc -2.006 2.270 -0.180
Sc -2.054 4.598 4.126
Ge -1.987 2.246 2.616
Cr -0.187 6.101 2.264
```

**DFT formation energy**: 0.13 eV per atom
**N(E_F)**: 7.0 states/eV per cell